K3Be5F12, relaxed, DFT PBE; size of the total moment = 0.00 μB/cell; E_form (uncorrected) = -2.71 eV/atom; calculated total energy = -4.933 eV/atom
1.0
-6.164 6.164 6.164
6.164 -6.164 6.164
6.164 6.164 -6.164
K Be F
12 20 48
Direct
0.125 0.250 0.375
0.125 0.375 0.750
0.250 0.375 0.125
0.250 0.875 0.625
0.375 0.125 0.250
0.375 0.750 0.125
0.625 0.250 0.875
0.625 0.875 0.750
0.750 0.125 0.375
0.750 0.625 0.875
0.875 0.625 0.250
0.875 0.750 0.625
0.000 0.000 0.000
0.000 0.000 0.500
0.000 0.500 0.000
0.000 0.500 0.500
0.125 0.750 0.875
0.125 0.875 0.250
0.250 0.125 0.875
0.250 0.625 0.375
0.375 0.250 0.625
0.375 0.625 0.750
0.500 0.000 0.000
0.500 0.000 0.500
0.500 0.500 0.000
0.500 0.500 0.500
0.625 0.375 0.250
0.625 0.750 0.375
0.750 0.375 0.625
0.750 0.875 0.125
0.875 0.125 0.750
0.875 0.250 0.125
0.016 0.696 0.115
0.016 0.820 0.901
0.081 0.680 0.696
0.081 0.901 0.385
0.099 0.615 0.919
0.099 0.984 0.180
0.115 0.016 0.696
0.115 0.599 0.419
0.180 0.099 0.984
0.180 0.581 0.196
0.196 0.180 0.581
0.196 0.516 0.615
0.304 0.885 0.984
0.304 0.919 0.320
0.320 0.304 0.919
0.320 0.516 0.401
0.385 0.081 0.901
0.385 0.804 0.484
0.401 0.320 0.516
0.401 0.581 0.885
0.419 0.115 0.599
0.419 0.804 0.820
0.484 0.385 0.804
0.484 0.599 0.680
0.516 0.401 0.320
0.516 0.615 0.196
0.581 0.196 0.180
0.581 0.885 0.401
0.599 0.419 0.115
0.599 0.680 0.484
0.615 0.196 0.516
0.615 0.919 0.099
0.680 0.484 0.599
0.680 0.696 0.081
0.696 0.081 0.680
0.696 0.115 0.016
0.804 0.484 0.385
0.804 0.820 0.419
0.820 0.419 0.804
0.820 0.901 0.016
0.885 0.401 0.581
0.885 0.984 0.304
0.901 0.016 0.820
0.901 0.385 0.081
0.919 0.099 0.615
0.919 0.320 0.304
0.984 0.180 0.099
0.984 0.304 0.885


K2BeF5, relaxed, DFT PBE; size of the total moment = 1.07 μB/cell; E_form (uncorrected) = -2.57 eV/atom; calculated total energy = -4.483 eV/atom
1.0
-2.886 2.886 3.992
2.886 -2.886 3.992
2.886 2.886 -3.992
K Be F
2 1 5
Direct
0.000 0.500 0.500
0.500 0.000 0.500
0.292 0.292 0.000
0.035 0.035 0.601
0.035 0.434 0.000
0.434 0.035 0.000
0.434 0.434 0.399
0.484 0.484 0.000


KLiBeF4, relaxed, DFT PBE; distance to the lowest polymorph of the same formula = 44 meV/atom; size of the total moment = 0.00 μB/cell; E_form (uncorrected) = -3.07 eV/atom; calculated total energy = -5.106 eV/atom
1.0
4.639 0.000 0.000
0.000 5.513 0.000
-1.890 0.000 6.925
K Li Be F
2 2 2 8
Direct
0.228 0.250 0.126
0.772 0.750 0.874
0.148 0.750 0.514
0.852 0.250 0.486
0.368 0.250 0.702
0.632 0.750 0.298
0.154 0.023 0.696
0.154 0.477 0.696
0.370 0.750 0.114
0.465 0.250 0.512
0.535 0.750 0.488
0.630 0.250 0.886
0.846 0.523 0.304
0.846 0.977 0.304


KLiBeF4, relaxed, DFT PBE; distance to the lowest polymorph of the same formula = 0 meV/atom; size of the total moment = 0.00 μB/cell; E_form (uncorrected) = -3.12 eV/atom; calculated total energy = -5.150 eV/atom
1.0
5.138 0.000 0.000
-2.569 4.450 0.000
0.000 0.000 8.703
K Li Be F
2 2 2 8
Direct
0.000 0.000 0.000
0.000 0.000 0.500
0.333 0.667 0.304
0.667 0.333 0.804
0.333 0.667 0.699
0.667 0.333 0.199
0.042 0.379 0.754
0.333 0.667 0.518
0.337 0.958 0.754
0.379 0.337 0.254
0.621 0.663 0.754
0.663 0.042 0.254
0.667 0.333 0.018
0.958 0.621 0.254